An optimized crystal structure of MgNp2CoO8, computed with GGA+U.

Cell lengths 5.886, 5.886, 5.886 Å; angles 111.34, 111.34, 105.79 degrees
Element x y z (fractional)
Mg  0.000  0.000  0.000
Np  0.500  0.500  0.000
Np  0.750  0.250  0.500
Co  0.250  0.750  0.500
O  0.006  0.206  0.801
O  0.245  0.549  0.696
O  0.405  0.206  0.199
O  0.451  0.147  0.696
O  0.451  0.755  0.304
O  0.794  0.595  0.801
O  0.794  0.994  0.199
O  0.853  0.549  0.304

Summary:
mass density: 7.27 Mg/m³
magnetic moment: 5.000 μB per cell
total DFT energy (no corrections): -8.385 eV/atom